[1]
Density functional theory data (PBE) for a geometry-optimized YRePb2 structure.

a b c (Å): 3.8144 5.1341 4.7943
angles (deg): 90.00 90.00 90.00
Last column: nearest neighbours and their distance in Å.
Fractional coordinates of all 4 atoms:
Pb  0.0000  0.0000  0.0000  4 Re 3.06, 4 Pb 3.20
Pb  0.5000  0.5000  0.0000  4 Y 3.06, 4 Pb 3.20
Re  0.5000  0.0000  0.5000  4 Pb 3.06, 4 Y 3.20
Y  0.0000  0.5000  0.5000  4 Pb 3.06, 4 Re 3.20

Computed properties:
As for the space group: Pmmm. The total energy comes out at -24.494 eV for the cell shown. The calculation puts the formation energy at 177.1 kJ/mol of formula units.

=====

[2]
Density functional theory data (PBE) for a geometry-optimized YRePb2 structure.

a b c (Å): 5.0203 5.0203 5.0203
angles (deg): 60.00 60.00 60.00
Last column: nearest neighbours and their distance in Å.
Fractional coordinates of all 4 atoms:
Pb  0.2500  0.2500  0.2500  4 Re 3.07, 4 Y 3.07
Pb  0.7500  0.7500  0.7500  4 Re 3.07, 4 Y 3.07
Re  0.5000  0.5000  0.5000  8 Pb 3.07
Y  0.0000  0.0000  0.0000  8 Pb 3.07

Computed properties:
As for the space group: Fm-3m. The total energy comes out at -24.932 eV for the cell shown. The calculation puts the formation energy at 134.8 kJ/mol of formula units.

=====

[3]
Density functional theory data (PBE) for a geometry-optimized YRe3Pb structure.

a b c (Å): 4.9793 4.9793 4.9793
angles (deg): 90.00 90.00 90.00
Last column: nearest neighbours and their distance in Å.
Fractional coordinates of all 5 atoms:
Pb  0.0000  0.0000  0.0000  6 Re 2.49
Re  0.0000  0.5000  0.0000  2 Pb 2.49
Re  0.0000  0.0000  0.5000  2 Pb 2.49
Re  0.5000  0.0000  0.0000  2 Pb 2.49
Y  0.5000  0.5000  0.5000  12 Re 3.52

Computed properties:
As for the space group: Pm-3m. The total energy comes out at -35.394 eV for the cell shown. The calculation puts the formation energy at 1169.7 kJ/mol of formula units.

=====

[4]
Density functional theory data (PBE) for a geometry-optimized YRePb2 structure.

a b c (Å): 4.3799 4.3799 11.1267
angles (deg): 78.65 78.65 90.00
Last column: nearest neighbours and their distance in Å.
Fractional coordinates of all 8 atoms:
Pb  0.6381  0.1250  0.2500  4 Pb 3.02-3.18, 2 Re 3.07, 2 Y 3.11
Pb  0.1119  0.6250  0.2500  4 Pb 3.02-3.18, 2 Re 3.07, 2 Y 3.11
Pb  0.3750  0.3619  0.7500  4 Pb 3.02-3.18, 2 Re 3.07, 2 Y 3.11
Pb  0.8750  0.8881  0.7500  4 Pb 3.02-3.18, 2 Re 3.07, 2 Y 3.11
Re  0.0000  0.0000  0.0000  4 Pb 3.07, 4 Y 3.10
Re  0.7500  0.2500  0.5000  4 Pb 3.07, 4 Y 3.10
Y  0.5000  0.5000  0.0000  4 Re 3.10, 4 Pb 3.11
Y  0.2500  0.7500  0.5000  4 Re 3.10, 4 Pb 3.11

Computed properties:
As for the space group: I-42d. The total energy comes out at -47.385 eV for the cell shown. The calculation puts the formation energy at 254.4 kJ/mol of formula units.